Record 1
AlGaCu2 after structural relaxation. Source: the Alexandria database, functional PBE.

Lattice parameters (Å, degrees): 3.836 3.836 8.906 77.56 77.56 90.00
Atoms (fractional coordinates):
Ga: 0.000 0.000 0.000
Ga: 0.750 0.250 0.500
Cu: 0.125 0.625 0.250
Cu: 0.875 0.875 0.750
Cu: 0.375 0.375 0.750
Cu: 0.625 0.125 0.250
Al: 0.250 0.750 0.500
Al: 0.500 0.500 0.000

Properties
D(E_F): 0.3767 states/eV per atom
space group: No. 122
E_form: 0.11 eV/atom



Record 2
FeCo2HPd after structural relaxation. Source: the Alexandria database, functional PBE.

Lattice parameters (Å, degrees): 3.699 3.699 3.792 90.00 90.00 90.00
Atoms (fractional coordinates):
Pd: 0.000 0.000 0.500
Co: 0.500 0.000 0.000
Co: 0.000 0.500 0.000
Fe: 0.500 0.500 0.500
H: 0.000 0.000 0.000

Properties
relative energy among the computed polymorphs: 21.1 meV/atom
D(E_F): 0.6674 states/eV per atom
space group: No. 123



Record 3
Pa2AuC2S2 after structural relaxation. Source: the Alexandria database, functional PBE.

Lattice parameters (Å, degrees): 3.943 3.943 10.921 90.00 90.00 120.00
Atoms (fractional coordinates):
S: 0.000 0.000 0.790
S: 0.000 0.000 0.210
Au: 0.000 0.000 0.000
Pa: 0.333 0.667 0.637
Pa: 0.667 0.333 0.363
C: 0.667 0.333 0.576
C: 0.333 0.667 0.424

Properties
D(E_F): 0.6852 states/eV per atom
energy relative to the elements, uncorrected: -593 meV per atom
space group: No. 164



Record 4
Cd2BO4 after structural relaxation. Source: the Alexandria database, functional PBE.

Lattice parameters (Å, degrees): 7.470 7.187 7.176 90.00 90.00 90.00
Atoms (fractional coordinates):
O: 0.656 0.683 0.000
O: 0.655 0.000 0.683
O: 0.845 0.500 0.817
O: 0.344 0.183 0.500
O: 0.155 0.000 0.317
O: 0.155 0.000 0.683
O: 0.844 0.183 0.500
O: 0.156 0.683 0.000
O: 0.656 0.317 0.000
O: 0.845 0.500 0.183
O: 0.156 0.317 0.000
O: 0.344 0.817 0.500
O: 0.655 0.000 0.317
O: 0.345 0.500 0.183
O: 0.844 0.817 0.500
O: 0.345 0.500 0.817
B: 0.250 0.000 0.500
B: 0.250 0.500 0.000
B: 0.750 0.000 0.500
B: 0.750 0.500 0.000
Cd: 0.000 0.250 0.250
Cd: 0.000 0.750 0.250
Cd: 0.500 0.250 0.750
Cd: 0.500 0.750 0.750
Cd: 0.500 0.750 0.250
Cd: 0.000 0.250 0.750
Cd: 0.000 0.750 0.750
Cd: 0.500 0.250 0.250

Properties
relative energy among the computed polymorphs: 186.0 meV/atom
D(E_F): 0.4313 states/eV per atom
energy relative to the elements, uncorrected: -1274 meV per atom
space group: No. 59



no.,total magnetic moment (μB per atom)
1,0.00
2,1.23
3,0.00
4,0.00